Here is an optimized crystal structure of K3Tl2O4F2 from Alexandria. Energies are from PBE.

Unit cell a=11.697 b=11.697 c=11.697 alpha=159.00 beta=159.00 gamma=29.87
Fractional positions:
K 0.000 0.000 0.000
K 0.184 0.184 0.000
K 0.816 0.816 0.000
Tl 0.402 0.402 0.000
Tl 0.598 0.598 0.000
O 0.086 0.586 0.500
O 0.414 0.914 0.500
O 0.586 0.086 0.500
O 0.914 0.414 0.500
F 0.300 0.300 0.000
F 0.700 0.700 0.000

Calculated values
M_tot, μB per atom: 0.000
Symmetry: I4/mmm (139)
Crystal system: tetragonal
Uncorrected energy, eV per atom: -4.192

Here is an optimized crystal structure of KTlOF2 from Alexandria. Energies are from PBE.

Unit cell a=4.672 b=4.672 c=4.101 alpha=90.00 beta=90.00 gamma=90.00
Fractional positions:
K 0.000 0.000 0.000
Tl 0.500 0.500 0.500
O 0.500 0.500 0.000
F 0.000 0.500 0.500
F 0.500 0.000 0.500

Calculated values
M_tot, μB per atom: 0.000
Symmetry: P4/mmm (123)
Crystal system: tetragonal
Uncorrected energy, eV per atom: -4.170

Here is an optimized crystal structure of KTl2OF from Alexandria. Energies are from PBE.

Unit cell a=7.216 b=3.840 c=9.146 alpha=90.00 beta=91.20 gamma=90.00
Fractional positions:
K 0.080 0.250 0.328
K 0.920 0.750 0.672
Tl 0.286 0.750 0.004
Tl 0.477 0.250 0.666
Tl 0.523 0.750 0.334
Tl 0.714 0.250 0.996
O 0.456 0.250 0.155
O 0.544 0.750 0.845
F 0.135 0.250 0.620
F 0.865 0.750 0.380

Calculated values
M_tot, μB per atom: 0.000
Symmetry: P2_1/m (11)
Crystal system: monoclinic
Uncorrected energy, eV per atom: -3.862

Here is an optimized crystal structure of KZrTl2OF5 from Alexandria. Energies are from PBE.

Unit cell a=6.604 b=6.604 c=6.604 alpha=120.98 beta=120.98 gamma=88.31
Fractional positions:
K 0.000 0.000 0.000
Zr 0.512 0.512 0.000
Tl 0.272 0.772 0.500
Tl 0.772 0.272 0.500
O 0.713 0.713 0.000
F 0.254 0.254 0.551
F 0.254 0.703 0.000
F 0.274 0.274 0.000
F 0.703 0.254 0.000
F 0.703 0.703 0.449

Calculated values
M_tot, μB per atom: 0.008
Symmetry: I4mm (107)
Crystal system: tetragonal
Uncorrected energy, eV per atom: -5.540

Here is an optimized crystal structure of K2TmOF3 from Alexandria. Energies are from PBE.

Unit cell a=7.449 b=7.449 c=7.449 alpha=146.31 beta=145.67 gamma=48.87
Fractional positions:
K 0.145 0.145 0.000
K 0.855 0.855 0.000
Tm 0.500 0.500 0.000
O 0.500 0.000 0.500
F 0.000 0.500 0.500
F 0.338 0.338 0.000
F 0.662 0.662 0.000

Calculated values
M_tot, μB per atom: 0.000
Symmetry: Immm (71)
Crystal system: orthorhombic
Uncorrected energy, eV per atom: -5.634

Here is an optimized crystal structure of K3UO2F5 from Alexandria. Energies are from PBE.

Unit cell a=11.319 b=11.319 c=11.319 alpha=131.54 beta=131.54 gamma=70.95
Fractional positions:
K 0.027 0.727 0.732
K 0.125 0.375 0.750
K 0.205 0.473 0.200
K 0.227 0.995 0.700
K 0.375 0.125 0.250
K 0.495 0.295 0.768
K 0.505 0.705 0.232
K 0.625 0.875 0.750
K 0.773 0.005 0.300
K 0.795 0.527 0.800
K 0.875 0.625 0.250
K 0.973 0.273 0.268
U 0.144 0.894 0.250
U 0.394 0.644 0.750
U 0.606 0.356 0.250
U 0.856 0.106 0.750
O 0.050 0.150 0.989
O 0.339 0.940 0.489
O 0.350 0.839 0.900
O 0.440 0.450 0.600
O 0.560 0.550 0.400
O 0.650 0.161 0.100
O 0.661 0.060 0.511
O 0.950 0.850 0.011
F 0.020 0.770 0.250
F 0.053 0.084 0.427
F 0.126 0.553 0.469
F 0.157 0.626 0.073
F 0.224 0.136 0.373
F 0.263 0.851 0.127
F 0.270 0.520 0.750
F 0.351 0.724 0.588
F 0.364 0.237 0.088
F 0.416 0.343 0.969
F 0.584 0.657 0.031
F 0.636 0.763 0.912
F 0.649 0.276 0.412
F 0.730 0.480 0.250
F 0.737 0.149 0.873
F 0.776 0.864 0.627
F 0.843 0.374 0.927
F 0.874 0.447 0.531
F 0.947 0.916 0.573
F 0.980 0.230 0.750

Calculated values
M_tot, μB per atom: 0.000
Symmetry: I4_1/a (88)
Crystal system: tetragonal
Uncorrected energy, eV per atom: -6.173

Here is an optimized crystal structure of K5U2O4F9 from Alexandria. Energies are from PBE.

Unit cell a=10.467 b=10.467 c=11.706 alpha=101.05 beta=101.05 gamma=34.62
Fractional positions:
K 0.000 0.500 0.500
K 0.075 0.564 0.866
K 0.224 0.731 0.582
K 0.269 0.776 0.918
K 0.436 0.925 0.634
K 0.500 0.000 0.000
K 0.564 0.075 0.366
K 0.731 0.224 0.082
K 0.776 0.269 0.418
K 0.925 0.436 0.134
U 0.131 0.644 0.216
U 0.356 0.869 0.284
U 0.644 0.131 0.716
U 0.869 0.356 0.784
O 0.125 0.162 0.349
O 0.162 0.125 0.849
O 0.415 0.424 0.779
O 0.424 0.415 0.279
O 0.576 0.585 0.721
O 0.585 0.576 0.221
O 0.838 0.875 0.151
O 0.875 0.838 0.651
F 0.018 0.161 0.611
F 0.091 0.909 0.250
F 0.092 0.501 0.302
F 0.161 0.018 0.111
F 0.196 0.410 0.082
F 0.262 0.604 0.060
F 0.396 0.738 0.440
F 0.410 0.196 0.582
F 0.499 0.908 0.198
F 0.501 0.092 0.802
F 0.590 0.804 0.418
F 0.604 0.262 0.560
F 0.738 0.396 0.940
F 0.804 0.590 0.918
F 0.839 0.982 0.889
F 0.908 0.499 0.698
F 0.909 0.091 0.750
F 0.982 0.839 0.389

Calculated values
M_tot, μB per atom: 0.000
Symmetry: C2/c (15)
Crystal system: monoclinic
Uncorrected energy, eV per atom: -6.357

Number 1: ΔE_f (raw) -1.319 eV/atom, volume 18.68 Å³ per atom. Number 2: ΔE_f (raw) -1.737 eV/atom, volume 17.90 Å³ per atom. Number 3: ΔE_f (raw) -1.330 eV/atom, volume 25.34 Å³ per atom. Number 4: ΔE_f (raw) -2.670 eV/atom, volume 20.05 Å³ per atom. Number 5: ΔE_f (raw) -3.171 eV/atom, volume 18.39 Å³ per atom. Number 6: ΔE_f (raw) -3.095 eV/atom, volume 18.08 Å³ per atom. Number 7: ΔE_f (raw) -3.121 eV/atom, volume 17.85 Å³ per atom.